The following is a DFT calculation (PBE) of a relaxed structure of Er2TmLu4Ni2Te2.

Cell lengths 9.185, 9.185, 9.185 Å; angles 156.07, 67.17, 118.30 degrees
Sites, in units of the cell vectors:
Lu 0.062 0.377 0.685
Lu 0.692 0.377 0.315
Lu 0.447 0.582 0.865
Lu 0.717 0.582 0.135
Er 0.376 0.730 0.647
Er 0.083 0.730 0.353
Ni 0.831 0.069 0.763
Ni 0.306 0.069 0.237
Tm 0.000 0.000 0.000
Te 0.340 0.340 0.000
Te 0.733 0.233 0.500

Output
energy above the lowest structure with this stoichiometry	0.000	eV per atom